An optimized crystal structure of Nd2GdN, computed with PBE-GGA.

Cell lengths 3.2605, 3.2605, 9.2090 Å; angles 90.00, 90.00, 90.00 degrees
With the nearest neighbours (Å) after each atom.
Fractional positions:
Nd 0.0000 0.0000 0.8406  4 N 2.73, 1 Nd 2.94
Nd 0.0000 0.0000 0.1594  4 N 2.73, 1 Nd 2.94
N 0.5000 0.5000 0.0000  8 Nd 2.73
Gd 0.5000 0.5000 0.5000  4 Gd 3.26

Calculated values
The value obtained for the raw formation energy is -0.1229 eV per atom. The offset from the most stable computed form comes out at 1.70 eV per formula unit. The space-group type is P4/mmm. Its total energy is -32.433 eV for the cell shown. The crystal system is tetragonal.